No. 1
# La6Pd2PtBr3 GGA-PBE relaxed
data_La6Pd2PtBr3
_chemical_formula_sum 'La6 Pd2 Pt1 Br3'
_cell_length_a 7.429
_cell_length_b 7.429
_cell_length_c 8.245
_cell_angle_alpha 98.64
_cell_angle_beta 98.64
_cell_angle_gamma 120.02
_symmetry_space_group_name_H-M 'P 1'
_symmetry_Int_Tables_number 1
_symmetry_space_group_name_Hall 'P 1'
loop_
_atom_site_label
_atom_site_type_symbol
_atom_site_fract_x
_atom_site_fract_y
_atom_site_fract_z
_atom_site_occupancy
La1 La 0.067 0.397 0.202 1
La2 La 0.262 0.262 0.798 1
La3 La 0.397 0.067 0.202 1
La4 La 0.603 0.933 0.798 1
La5 La 0.738 0.738 0.202 1
La6 La 0.933 0.603 0.798 1
Pd1 Pd 0.333 0.667 0.000 1
Pd2 Pd 0.667 0.333 0.000 1
Pt1 Pt 0.000 0.000 0.000 1
Br1 Br 0.168 0.832 0.500 1
Br2 Br 0.500 0.500 0.500 1
Br3 Br 0.832 0.168 0.500 1
# Energy relative to the elements, uncorrected: -1168 meV per atom
# Calculated total energy: -5.42 eV per atom
# SG: No. 12
# V: 31.31 Å³/atom

No. 2
# ScSiN2F GGA-PBE relaxed
data_ScSiN2F
_chemical_formula_sum 'Sc1 Si1 N2 F1'
_cell_length_a 3.670
_cell_length_b 3.670
_cell_length_c 3.529
_cell_angle_alpha 90.00
_cell_angle_beta 90.00
_cell_angle_gamma 90.00
_symmetry_space_group_name_H-M 'P 1'
_symmetry_Int_Tables_number 1
_symmetry_space_group_name_Hall 'P 1'
loop_
_atom_site_label
_atom_site_type_symbol
_atom_site_fract_x
_atom_site_fract_y
_atom_site_fract_z
_atom_site_occupancy
Sc1 Sc 0.000 0.000 0.000 1
Si1 Si 0.500 0.500 0.500 1
N1 N 0.000 0.500 0.500 1
N2 N 0.500 0.000 0.500 1
F1 F 0.500 0.500 0.000 1
# Energy relative to the elements, uncorrected: -1238 meV per atom
# Calculated total energy: -7.29 eV per atom
# SG: No. 123
# E above lowest polymorph: 0.00 kJ/mol of atoms
# V: 9.51 Å³/atom

No. 3
# Ca2LaHg2Pb2 GGA-PBE relaxed
data_Ca2LaHg2Pb2
_chemical_formula_sum 'Ca2 La1 Hg2 Pb2'
_cell_length_a 9.580
_cell_length_b 9.580
_cell_length_c 9.580
_cell_angle_alpha 31.04
_cell_angle_beta 31.04
_cell_angle_gamma 31.04
_symmetry_space_group_name_H-M 'P 1'
_symmetry_Int_Tables_number 1
_symmetry_space_group_name_Hall 'P 1'
loop_
_atom_site_label
_atom_site_type_symbol
_atom_site_fract_x
_atom_site_fract_y
_atom_site_fract_z
_atom_site_occupancy
Ca1 Ca 0.135 0.135 0.135 1
Ca2 Ca 0.865 0.865 0.865 1
La1 La 0.000 0.000 0.000 1
Hg1 Hg 0.439 0.439 0.439 1
Hg2 Hg 0.561 0.561 0.561 1
Pb1 Pb 0.268 0.268 0.268 1
Pb2 Pb 0.732 0.732 0.732 1
# Calculated total energy: -2.81 eV per atom
# SG: No. 166
# V: 29.63 Å³/atom
# ΔH_f (0 K): -0.389 eV per atom

No. 4
# Ac13Ho3 GGA-PBE relaxed
data_Ac13Ho3
_chemical_formula_sum 'Ac13 Ho3'
_cell_length_a 7.882
_cell_length_b 9.297
_cell_length_c 9.297
_cell_angle_alpha 85.68
_cell_angle_beta 90.00
_cell_angle_gamma 90.00
_symmetry_space_group_name_H-M 'P 1'
_symmetry_Int_Tables_number 1
_symmetry_space_group_name_Hall 'P 1'
loop_
_atom_site_label
_atom_site_type_symbol
_atom_site_fract_x
_atom_site_fract_y
_atom_site_fract_z
_atom_site_occupancy
Ac1 Ac 0.000 0.000 0.000 1
Ac2 Ac 0.000 0.434 0.916 1
Ac3 Ac 0.000 0.506 0.506 1
Ac4 Ac 0.000 0.916 0.434 1
Ac5 Ac 0.252 0.250 0.250 1
Ac6 Ac 0.254 0.164 0.678 1
Ac7 Ac 0.254 0.678 0.164 1
Ac8 Ac 0.500 0.427 0.916 1
Ac9 Ac 0.500 0.509 0.509 1
Ac10 Ac 0.500 0.916 0.427 1
Ac11 Ac 0.746 0.164 0.678 1
Ac12 Ac 0.746 0.678 0.164 1
Ac13 Ac 0.748 0.250 0.250 1
Ho1 Ho 0.254 0.759 0.759 1
Ho2 Ho 0.500 0.997 0.997 1
Ho3 Ho 0.746 0.759 0.759 1
# Calculated total energy: -4.14 eV per atom
# SG: No. 38
# V: 42.46 Å³/atom
# ΔH_f (0 K): 0.059 eV per atom

No. 5
# K2SiW GGA-PBE relaxed
data_K2SiW
_chemical_formula_sum 'K2 Si1 W1'
_cell_length_a 12.069
_cell_length_b 12.069
_cell_length_c 12.069
_cell_angle_alpha 13.95
_cell_angle_beta 13.95
_cell_angle_gamma 13.95
_symmetry_space_group_name_H-M 'P 1'
_symmetry_Int_Tables_number 1
_symmetry_space_group_name_Hall 'P 1'
loop_
_atom_site_label
_atom_site_type_symbol
_atom_site_fract_x
_atom_site_fract_y
_atom_site_fract_z
_atom_site_occupancy
K1 K 0.246 0.246 0.246 1
K2 K 0.754 0.754 0.754 1
Si1 Si 0.500 0.500 0.500 1
W1 W 0.000 0.000 0.000 1
# Energy relative to the elements, uncorrected: 1191 meV per atom
# Calculated total energy: -3.95 eV per atom
# SG: No. 166
# V: 22.24 Å³/atom

No. 6
# Rb2NbNi GGA-PBE relaxed
data_Rb2NbNi
_chemical_formula_sum 'Rb4 Nb2 Ni2'
_cell_length_a 9.436
_cell_length_b 9.436
_cell_length_c 9.436
_cell_angle_alpha 93.60
_cell_angle_beta 93.60
_cell_angle_gamma 150.97
_symmetry_space_group_name_H-M 'P 1'
_symmetry_Int_Tables_number 1
_symmetry_space_group_name_Hall 'P 1'
loop_
_atom_site_label
_atom_site_type_symbol
_atom_site_fract_x
_atom_site_fract_y
_atom_site_fract_z
_atom_site_occupancy
Rb1 Rb 0.375 0.199 0.324 1
Rb2 Rb 0.801 0.125 0.176 1
Rb3 Rb 0.875 0.051 0.676 1
Rb4 Rb 0.949 0.625 0.824 1
Nb1 Nb 0.250 0.750 0.500 1
Nb2 Nb 0.500 0.500 0.000 1
Ni1 Ni 0.000 0.000 0.000 1
Ni2 Ni 0.750 0.250 0.500 1
# Calculated total energy: -3.26 eV per atom
# SG: No. 122
# E above lowest polymorph: 0.00 kJ/mol of atoms
# V: 49.34 Å³/atom
# ΔH_f (0 K): 1.182 eV per atom